# 1
Compound: Tl2In2Bi
Source: Alexandria
Functional: meta-GGA SCAN
Structure: single point on PBEsol structure

```
Tl2In2Bi
1.0
7.9490 0.0000 0.0000
0.0000 7.9490 0.0000
0.0000 0.0000 4.6064
Tl In Bi
4 4 2
direct
0.1722 0.3278 0.0000
0.3278 0.8278 0.0000
0.6722 0.1722 0.0000
0.8278 0.6722 0.0000
0.1319 0.6319 0.5000
0.3681 0.1319 0.5000
0.6319 0.8681 0.5000
0.8681 0.3681 0.5000
0.0000 0.0000 0.5000
0.5000 0.5000 0.5000
```

Total energy, eV per atom: -57.965
Calculated volume, Å³/cell: 291
Energy relative to the lowest polymorph listed for this composition, eV per atom: 0.000
Formation enthalpy at 0 K, meV per atom: 49



# 2
Compound: In3BiW
Source: Alexandria
Functional: meta-GGA SCAN
Structure: single point on PBEsol structure

```
In3BiW
1.0
5.7017 0.0000 0.0000
0.0000 5.7017 0.0000
0.0000 0.0000 5.7017
In Bi W
3 1 1
direct
0.0000 0.0000 0.5000
0.0000 0.5000 0.0000
0.5000 0.0000 0.0000
0.0000 0.0000 0.0000
0.5000 0.5000 0.5000
```

Total energy, eV per atom: -47.835
Calculated volume, Å³/cell: 185
Formation enthalpy at 0 K, meV per atom: 1850



# 3
Compound: ZrInBiW2
Source: Alexandria
Functional: meta-GGA SCAN
Structure: single point on PBEsol structure

```
ZrInBiW2
1.0
4.9867 0.0000 0.0000
0.0000 4.9867 0.0000
0.0000 0.0000 5.2524
Zr In Bi W
1 1 1 2
direct
0.0000 0.0000 0.0000
0.5000 0.5000 0.0000
0.0000 0.0000 0.5000
0.0000 0.5000 0.5000
0.5000 0.0000 0.5000
```

Total energy, eV per atom: -54.097
Calculated volume, Å³/cell: 131
Formation enthalpy at 0 K, meV per atom: 2311



# 4
Compound: YInBi3
Source: Alexandria
Functional: meta-GGA SCAN
Structure: single point on PBEsol structure

```
YInBi3
1.0
5.8036 0.0000 0.0000
0.0000 5.8036 0.0000
0.0000 0.0000 5.8036
Y In Bi
1 1 3
direct
0.0000 0.0000 0.0000
0.5000 0.5000 0.5000
0.0000 0.0000 0.5000
0.0000 0.5000 0.0000
0.5000 0.0000 0.0000
```

Total energy, eV per atom: -59.131
Calculated volume, Å³/cell: 195
Formation enthalpy at 0 K, meV per atom: 263



# 5
Compound: YInBi2
Source: Alexandria
Functional: meta-GGA SCAN
Structure: single point on PBEsol structure

```
YInBi2
1.0
-3.5410 3.5410 6.4080
3.5410 -3.5410 6.4080
3.5410 3.5410 -6.4080
Y In Bi
2 2 4
direct
0.0000 0.0000 0.0000
0.7500 0.2500 0.5000
0.2500 0.7500 0.5000
0.5000 0.5000 0.0000
0.1416 0.6250 0.0166
0.3750 0.3916 0.5166
0.6084 0.1250 0.9834
0.8750 0.8584 0.4834
```

Total energy, eV per atom: -54.783
Calculated volume, Å³/cell: 321
Formation enthalpy at 0 K, meV per atom: -185



# 6
Compound: YIn3Bi
Source: Alexandria
Functional: meta-GGA SCAN
Structure: single point on PBEsol structure

```
YIn3Bi
1.0
5.6739 0.0000 0.0000
0.0000 5.6739 0.0000
0.0000 0.0000 5.6739
Y In Bi
1 3 1
direct
0.0000 0.0000 0.0000
0.0000 0.5000 0.5000
0.5000 0.0000 0.5000
0.5000 0.5000 0.0000
0.5000 0.5000 0.5000
```

Total energy, eV per atom: -40.722
Calculated volume, Å³/cell: 183
Formation enthalpy at 0 K, meV per atom: 595



Among the records above, which one has the highest formation enthalpy at 0 K?
ZrInBiW2



Among the records above, which one has the highest formation enthalpy at 0 K?
ZrInBiW2



The lowest total energy belongs to which entry?
YInBi3



Look up the formation enthalpy at 0 K of the second one.
1850 meV per atom